The following is a PBE calculation of a relaxed BaCa2Cr crystal, from Alexandria.

Cell lengths 8.062, 8.062, 8.062 Å; angles 90.00, 90.00, 90.00 degrees
Element x y z (fractional)
Ba  0.000  0.000  0.000
Ba  0.000  0.500  0.500
Ba  0.500  0.000  0.500
Ba  0.500  0.500  0.000
Ca  0.250  0.250  0.250
Ca  0.250  0.250  0.750
Ca  0.250  0.750  0.250
Ca  0.250  0.750  0.750
Ca  0.750  0.250  0.250
Ca  0.750  0.250  0.750
Ca  0.750  0.750  0.250
Ca  0.750  0.750  0.750
Cr  0.000  0.000  0.500
Cr  0.000  0.500  0.000
Cr  0.500  0.000  0.000
Cr  0.500  0.500  0.500

Values from the calculation:
Space group: Fm-3m, No. 225
Crystal system: cubic

The following is a PBE calculation of a relaxed BaCa3Cr crystal, from Alexandria.

Cell lengths 5.751, 5.751, 5.751 Å; angles 90.00, 90.00, 90.00 degrees
Element x y z (fractional)
Ba  0.000  0.000  0.000
Ca  0.000  0.500  0.500
Ca  0.500  0.000  0.500
Ca  0.500  0.500  0.000
Cr  0.500  0.500  0.500

Values from the calculation:
Space group: Pm-3m, No. 221
Crystal system: cubic

no.,E (eV for the cell shown),formation energy (eV/atom)
1,-46.505,0.98
2,-14.219,0.67